[1]
Compound: AgTePt2
Source: the Alexandria database
Functional: PBE
Structure: optimized geometry

Unit cell a=4.5269 b=4.5269 c=3.5692 alpha=90.00 beta=90.00 gamma=90.00
Space group P4/mmm (No. 123)
Symmetry-distinct sites (fractional):
Ag  0.0000  0.0000  0.0000 x1
Te  0.5000  0.5000  0.0000 x1
Pt  0.0000  0.5000  0.5000 x2

Calculated values
The value obtained for the density is 14203 kg/m3. As for the total energy: -4.4347 eV per atom. As for the energy relative to the elements, uncorrected: 84 meV per atom.

---

[2]
Compound: Tb2CeInN
Source: the Alexandria database
Functional: PBE
Structure: optimized geometry

Unit cell a=4.8938 b=4.8938 c=4.8527 alpha=90.00 beta=90.00 gamma=90.00
Space group P4/mmm (No. 123)
Symmetry-distinct sites (fractional):
Tb  0.0000  0.5000  0.0000 x2
Ce  0.0000  0.0000  0.5000 x1
In  0.5000  0.5000  0.5000 x1
N  0.0000  0.0000  0.0000 x1

Calculated values
The value obtained for the density is 8384 kg/m3. As for the total energy: -6.1477 eV per atom. As for the energy relative to the elements, uncorrected: -896 meV per atom.

---

[3]
Compound: LaTa2P
Source: the Alexandria database
Functional: PBE
Structure: optimized geometry

Unit cell a=3.5289 b=5.0590 c=9.0655 alpha=90.00 beta=90.00 gamma=90.00
Space group Cmmm (No. 65)
Symmetry-distinct sites (fractional):
La  0.0000  0.0000  0.0000 x2
Ta  0.0000  0.5000  0.3118 x4
P  0.0000  0.0000  0.5000 x2

Calculated values
The value obtained for the density is 10912 kg/m3. As for the total energy: -8.4470 eV per atom. The value obtained for the energy of formation is 0.064 eV/atom.

---

[4]
Compound: RbPm2Ge
Source: the Alexandria database
Functional: PBE
Structure: optimized geometry

Unit cell a=4.1955 b=4.1955 c=35.3000 alpha=90.00 beta=90.00 gamma=120.00
Space group R-3m (No. 166, hexagonal axes)
Symmetry-distinct sites (fractional):
Rb  0.0000  0.0000  0.0000 x3
Pm  0.0000  0.0000  0.1208 x6
Ge  0.0000  0.0000  0.5000 x3

Calculated values
The value obtained for the density is 4148 kg/m3. As for the total energy: -3.9287 eV per atom. The value obtained for the energy of formation is -0.157 eV/atom.

---

[5]
Compound: Os2RhAuSe
Source: the Alexandria database
Functional: PBE
Structure: optimized geometry

Unit cell a=4.7370 b=4.7370 c=4.6927 alpha=90.00 beta=90.00 gamma=90.00
Space group P4/mmm (No. 123)
Symmetry-distinct sites (fractional):
Os  0.0000  0.5000  0.0000 x2
Rh  0.0000  0.0000  0.0000 x1
Au  0.5000  0.5000  0.5000 x1
Se  0.0000  0.0000  0.5000 x1

Calculated values
The value obtained for the density is 11974 kg/m3. As for the total energy: -5.3029 eV per atom. As for the energy relative to the elements, uncorrected: 2012 meV per atom.

---

[6]
Compound: ErNbTl2O6
Source: the Alexandria database
Functional: PBE
Structure: optimized geometry

Unit cell a=8.4637 b=8.4637 c=8.4637 alpha=90.00 beta=90.00 gamma=90.00
Space group Fm-3m (No. 225)
Symmetry-distinct sites (fractional):
Er  0.0000  0.0000  0.0000 x4
Nb  0.0000  0.0000  0.5000 x4
Tl  0.2500  0.2500  0.2500 x8
O  0.0000  0.0000  0.2624 x24

Calculated values
The value obtained for the density is 8380 kg/m3. As for the total energy: -6.7945 eV per atom. As for the energy relative to the elements, uncorrected: -1883 meV per atom.

---

[7]
Compound: Tb5Pr12Cd2
Source: the Alexandria database
Functional: PBE
Structure: optimized geometry

Unit cell a=15.7892 b=9.3568 c=8.6856 alpha=90.00 beta=93.23 gamma=90.00
Space group C2/m (No. 12)
Symmetry-distinct sites (fractional):
Tb  0.0000  0.0000  0.0000 x2
Tb  0.1954  0.5000  0.5203 x4
Tb  0.2319  0.0000  0.0762 x4
Pr  0.0588  0.5000  0.8293 x4
Pr  0.0804  0.0000  0.3821 x4
Pr  0.1261  0.3054  0.1741 x8
Pr  0.1480  0.1851  0.7346 x8
Cd  0.0000  0.3316  0.5000 x4

Calculated values
The value obtained for the density is 7026 kg/m3. As for the total energy: -4.2980 eV per atom. The value obtained for the energy of formation is 0.035 eV/atom.

---

[8]
Compound: Rb3SbBr8
Source: the Alexandria database
Functional: PBE
Structure: optimized geometry

Unit cell a=10.3064 b=10.3064 c=10.1903 alpha=90.00 beta=90.00 gamma=120.00
Space group P6_3mc (No. 186)
Symmetry-distinct sites (fractional):
Rb  0.1520  0.3041  0.0000 x6
Sb  0.3333  0.6667  0.4801 x2
Br  0.0000  0.0000  0.2552 x2
Br  0.0898  0.5449  0.3398 x6
Br  0.2116  0.4232  0.6305 x6
Br  0.3333  0.6667  0.9860 x2

Calculated values
The value obtained for the density is 3604 kg/m3. As for the total energy: -2.7499 eV per atom. As for the distance to the lowest polymorph of the same formula: 0 meV per atom. As for the energy relative to the elements, uncorrected: -1049 meV per atom.